Entry 1:
VAgSnO5: optimized geometry, PBE+U.

Calculated values
space-group type = C2/c, No. 15
raw total energy = -6.3005 eV/atom

a b c (Å): 5.8681 5.8681 7.5131
angles (deg): 105.19 105.19 101.57
Closest atoms and distances in Å follow each position.
Fractional coordinates of all 16 atoms:
O 0.0784 0.9216 0.2500  2 Sn 2.01
O 0.3591 0.2482 0.0983  1 V 1.75
O 0.6409 0.7518 0.9017  1 V 1.75
O 0.2482 0.3591 0.5983  1 V 1.75
O 0.8598 0.2942 0.1102  1 V 1.74
O 0.2942 0.8598 0.6102  1 V 1.74
O 0.1402 0.7058 0.8898  1 V 1.74
O 0.9216 0.0784 0.7500  2 Sn 2.01
O 0.7058 0.1402 0.3898  1 V 1.74
O 0.7518 0.6409 0.4017  1 V 1.75
Ag 0.3269 0.6731 0.2500  3 O 2.26-2.52
Ag 0.6731 0.3269 0.7500  3 O 2.26-2.52
V 0.6670 0.3330 0.2500  4 O 1.74-1.75
V 0.3330 0.6670 0.7500  4 O 1.74-1.75
Sn 0.0000 0.0000 0.0000  6 O 2.01-2.13
Sn 0.0000 0.0000 0.5000  6 O 2.01-2.13

Entry 2:
V2AgSnO8: optimized geometry, PBE+U.

Calculated values
space-group type = P-3m1, No. 164
raw total energy = -6.4979 eV/atom
DOS at the Fermi energy = 0.540 states/eV/atom

a b c (Å): 5.7412 5.7412 6.2612
angles (deg): 90.00 90.00 120.00
Closest atoms and distances in Å follow each position.
Fractional coordinates of all 12 atoms:
Sn 0.0000 0.0000 0.0000  6 O 2.07
O 0.6784 0.8392 0.7910  1 V 1.79
O 0.1608 0.3216 0.7910  1 V 1.79
O 0.3333 0.6667 0.4490  1 V 1.63
O 0.6667 0.3333 0.5510  1 V 1.63
O 0.1608 0.8392 0.7910  1 V 1.79
O 0.8392 0.6784 0.2090  1 V 1.79
O 0.8392 0.1608 0.2090  1 V 1.79
O 0.3216 0.1608 0.2090  1 V 1.79
Ag 0.0000 0.0000 0.5000  6 O 2.42
V 0.3333 0.6667 0.7100  4 O 1.63-1.79
V 0.6667 0.3333 0.2900  4 O 1.63-1.79